Record 1
Compound: LaPmAgSn
Source: Alexandria
Functional: PBE-GGA
Structure: optimized geometry

```
LaPmAgSn
1.0
7.695 0.000 0.000
0.000 7.695 0.000
0.000 0.000 7.695
La Pm Ag Sn
4 4 4 4
direct
0.000 0.000 0.000
0.000 0.500 0.500
0.500 0.000 0.500
0.500 0.500 0.000
0.000 0.000 0.500
0.000 0.500 0.000
0.500 0.000 0.000
0.500 0.500 0.500
0.250 0.250 0.250
0.250 0.750 0.750
0.750 0.250 0.750
0.750 0.750 0.250
0.250 0.250 0.750
0.250 0.750 0.250
0.750 0.250 0.250
0.750 0.750 0.750
```

crystal system: cubic
DFT formation energy: -0.532 eV/atom
space group: F-43m (216)



Record 2
Compound: ZnAg2F4
Source: Alexandria
Functional: PBE-GGA
Structure: optimized geometry

```
ZnAg2F4
1.0
6.108 0.000 0.000
0.000 10.277 0.000
0.000 0.000 3.197
Zn Ag F
2 4 8
direct
0.000 0.000 0.000
0.500 0.500 0.000
0.057 0.332 0.500
0.443 0.832 0.500
0.557 0.168 0.500
0.943 0.668 0.500
0.129 0.818 0.000
0.211 0.045 0.500
0.289 0.545 0.500
0.371 0.318 0.000
0.629 0.682 0.000
0.711 0.455 0.500
0.789 0.955 0.500
0.871 0.182 0.000
```

crystal system: orthorhombic
space group: Pbam (55)



Record 3
Compound: PrB2O4
Source: Alexandria
Functional: PBE-GGA
Structure: optimized geometry

```
PrB2O4
1.0
3.584 0.000 0.000
0.000 3.584 0.000
0.000 0.000 5.734
Pr B O
1 2 4
direct
0.000 0.000 0.000
0.000 0.500 0.500
0.500 0.000 0.500
0.251 0.251 0.645
0.251 0.749 0.355
0.749 0.251 0.355
0.749 0.749 0.645
```

crystal system: tetragonal
space group: P-42m (111)



Record 4
Compound: VRuS2
Source: Alexandria
Functional: PBE-GGA
Structure: optimized geometry

```
VRuS2
1.0
5.203 0.000 0.000
0.000 5.203 0.000
0.000 0.000 10.720
V Ru S
4 4 8
direct
0.000 0.000 0.000
0.000 0.500 0.250
0.500 0.000 0.750
0.500 0.500 0.500
0.000 0.000 0.500
0.000 0.500 0.750
0.500 0.000 0.250
0.500 0.500 0.000
0.249 0.250 0.625
0.250 0.749 0.875
0.250 0.751 0.375
0.251 0.250 0.125
0.749 0.750 0.125
0.750 0.249 0.375
0.750 0.251 0.875
0.751 0.750 0.625
```

energy relative to the lowest polymorph listed for this composition: 0.032 eV per atom
crystal system: tetragonal
space group: I-42d (122)



Record 5
Compound: Ca6Mg2Cd
Source: Alexandria
Functional: PBE-GGA
Structure: optimized geometry

```
Ca6Mg2Cd
1.0
5.747 0.000 0.000
-2.874 4.977 0.000
0.000 0.000 10.639
Ca Mg Cd
6 2 1
direct
0.000 0.000 0.198
0.000 0.000 0.802
0.333 0.667 0.057
0.333 0.667 0.410
0.667 0.333 0.590
0.667 0.333 0.943
0.333 0.667 0.736
0.667 0.333 0.264
0.000 0.000 0.500
```

energy relative to the lowest polymorph listed for this composition: 0.025 eV per atom
crystal system: trigonal
DFT formation energy: -0.092 eV/atom
space group: P-3m1 (164)



Record 6
Compound: Li2TaTeF
Source: Alexandria
Functional: PBE-GGA
Structure: optimized geometry

```
Li2TaTeF
1.0
5.702 0.000 0.000
0.000 5.702 0.000
0.000 0.000 5.159
Li Ta Te F
2 1 1 1
direct
0.000 0.500 0.000
0.500 0.000 0.000
0.000 0.000 0.000
0.000 0.000 0.500
0.500 0.500 0.500
```

crystal system: tetragonal
space group: P4/mmm (123)



Record 7
Compound: CoSbRu2
Source: Alexandria
Functional: PBE-GGA
Structure: optimized geometry

```
CoSbRu2
1.0
3.135 0.000 0.000
0.000 3.135 0.000
0.000 0.000 6.103
Co Sb Ru
1 1 2
direct
0.000 0.000 0.000
0.000 0.000 0.500
0.500 0.500 0.238
0.500 0.500 0.762
```

crystal system: tetragonal
space group: P4/mmm (123)



Record 8
Compound: ScMo2Cl
Source: Alexandria
Functional: PBE-GGA
Structure: optimized geometry

```
ScMo2Cl
1.0
3.335 0.000 0.000
0.000 4.636 0.000
0.000 0.000 8.991
Sc Mo Cl
2 4 2
direct
0.000 0.000 0.000
0.500 0.500 0.000
0.000 0.500 0.262
0.000 0.500 0.738
0.500 0.000 0.262
0.500 0.000 0.738
0.000 0.000 0.500
0.500 0.500 0.500
```

energy relative to the lowest polymorph listed for this composition: 0.661 eV per atom
crystal system: orthorhombic
space group: Cmmm (65)



Record 9
Compound: PrMo6Se8
Source: Alexandria
Functional: PBE-GGA
Structure: optimized geometry

```
PrMo6Se8
1.0
4.773 2.756 4.028
-4.773 2.756 4.028
0.000 -5.512 4.028
Pr Mo Se
1 6 8
direct
0.000 0.000 0.000
0.236 0.423 0.561
0.423 0.561 0.236
0.439 0.764 0.577
0.561 0.236 0.423
0.577 0.439 0.764
0.764 0.577 0.439
0.121 0.754 0.376
0.242 0.242 0.242
0.246 0.624 0.879
0.376 0.121 0.754
0.624 0.879 0.246
0.754 0.376 0.121
0.758 0.758 0.758
0.879 0.246 0.624
```

crystal system: trigonal
space group: R-3 (148)



Record 10
Compound: Tb2SmSn
Source: Alexandria
Functional: PBE-GGA
Structure: optimized geometry

```
Tb2SmSn
1.0
4.162 0.000 0.000
0.000 4.162 0.000
0.000 0.000 6.813
Tb Sm Sn
2 1 1
direct
0.000 0.000 0.227
0.000 0.000 0.773
0.500 0.500 0.500
0.500 0.500 0.000
```

energy relative to the lowest polymorph listed for this composition: 0.113 eV per atom
crystal system: tetragonal
DFT formation energy: -0.319 eV/atom
space group: P4/mmm (123)



Record 11
Compound: SmDyErTm
Source: Alexandria
Functional: PBE-GGA
Structure: optimized geometry

```
SmDyErTm
1.0
7.985 0.000 0.000
0.000 7.985 0.000
0.000 0.000 7.985
Sm Dy Er Tm
4 4 4 4
direct
0.000 0.000 0.000
0.000 0.500 0.500
0.500 0.000 0.500
0.500 0.500 0.000
0.000 0.000 0.500
0.000 0.500 0.000
0.500 0.000 0.000
0.500 0.500 0.500
0.250 0.250 0.250
0.250 0.750 0.750
0.750 0.250 0.750
0.750 0.750 0.250
0.250 0.250 0.750
0.250 0.750 0.250
0.750 0.250 0.250
0.750 0.750 0.750
```

energy relative to the lowest polymorph listed for this composition: 0.000 eV per atom
crystal system: cubic
DFT formation energy: 0.126 eV/atom
space group: F-43m (216)



Record 12
Compound: Tb6Sm3Y2Th
Source: Alexandria
Functional: PBE-GGA
Structure: optimized geometry

```
Tb6Sm3Y2Th
1.0
3.104 -5.372 0.000
3.104 5.372 0.000
-2.070 0.000 11.697
Tb Sm Y Th
6 3 2 1
direct
0.083 0.413 0.748
0.246 0.246 0.252
0.413 0.083 0.748
0.587 0.917 0.252
0.754 0.754 0.748
0.917 0.587 0.252
0.167 0.833 0.000
0.500 0.500 0.000
0.833 0.167 0.000
0.333 0.667 0.500
0.667 0.333 0.500
0.000 0.000 0.500
```

crystal system: monoclinic
DFT formation energy: 0.022 eV/atom
space group: C2/m (12)



Record 13
Compound: EuErCdGa
Source: Alexandria
Functional: PBE-GGA
Structure: optimized geometry

```
EuErCdGa
1.0
7.459 0.000 0.000
0.000 7.459 0.000
0.000 0.000 7.459
Eu Er Cd Ga
4 4 4 4
direct
0.000 0.000 0.000
0.000 0.500 0.500
0.500 0.000 0.500
0.500 0.500 0.000
0.000 0.000 0.500
0.000 0.500 0.000
0.500 0.000 0.000
0.500 0.500 0.500
0.250 0.250 0.250
0.250 0.750 0.750
0.750 0.250 0.750
0.750 0.750 0.250
0.250 0.250 0.750
0.250 0.750 0.250
0.750 0.250 0.250
0.750 0.750 0.750
```

crystal system: cubic
DFT formation energy: -0.391 eV/atom
space group: F-43m (216)



Record 14
Compound: Al2Zn2Cd
Source: Alexandria
Functional: PBE-GGA
Structure: optimized geometry

```
Al2Zn2Cd
1.0
3.942 0.000 0.000
0.000 3.942 0.000
0.000 0.000 11.977
Al Zn Cd
4 4 2
direct
0.000 0.500 0.250
0.000 0.500 0.750
0.500 0.000 0.250
0.500 0.000 0.750
0.000 0.000 0.102
0.000 0.000 0.898
0.500 0.500 0.398
0.500 0.500 0.602
0.000 0.000 0.500
0.500 0.500 0.000
```

energy relative to the lowest polymorph listed for this composition: 0.001 eV per atom
crystal system: tetragonal
DFT formation energy: 0.098 eV/atom
space group: I4/mmm (139)



Record 15
Compound: Al2Te3
Source: Alexandria
Functional: PBE-GGA
Structure: optimized geometry

```
Al2Te3
1.0
3.682 -6.475 0.000
3.682 6.475 0.000
-2.327 0.000 6.939
Al Te
4 6
direct
0.086 0.914 0.500
0.281 0.781 0.003
0.781 0.281 0.503
0.914 0.086 0.000
0.086 0.241 0.385
0.241 0.086 0.885
0.401 0.885 0.390
0.547 0.717 0.861
0.717 0.547 0.361
0.885 0.401 0.890
```

crystal system: monoclinic
space group: Cc (9)



Record 16
Compound: ZrVSeBr2
Source: Alexandria
Functional: PBE-GGA
Structure: optimized geometry

```
ZrVSeBr2
1.0
5.324 0.000 0.000
0.000 5.324 0.000
0.000 0.000 5.238
Zr V Se Br
1 1 1 2
direct
0.000 0.000 0.000
0.500 0.500 0.500
0.000 0.000 0.500
0.000 0.500 0.000
0.500 0.000 0.000
```

energy relative to the lowest polymorph listed for this composition: 0.000 eV per atom
crystal system: tetragonal
space group: P4/mmm (123)



Record 17
Compound: SrZrW2
Source: Alexandria
Functional: PBE-GGA
Structure: optimized geometry

```
SrZrW2
1.0
2.972 0.000 0.000
-1.486 2.574 0.000
0.000 0.000 32.512
Sr Zr W
3 3 6
direct
0.000 0.000 0.000
0.333 0.667 0.667
0.667 0.333 0.333
0.000 0.000 0.500
0.333 0.667 0.167
0.667 0.333 0.833
0.000 0.000 0.245
0.000 0.000 0.755
0.333 0.667 0.421
0.333 0.667 0.912
0.667 0.333 0.088
0.667 0.333 0.579
```

energy relative to the lowest polymorph listed for this composition: 0.527 eV per atom
crystal system: trigonal
DFT formation energy: 1.046 eV/atom
space group: R-3m (166)



Record 18
Compound: BaTlReO4
Source: Alexandria
Functional: PBE-GGA
Structure: optimized geometry

```
BaTlReO4
1.0
0.000 5.088 5.088
5.088 0.000 5.088
5.088 5.088 0.000
Ba Tl Re O
1 1 1 4
direct
0.000 0.000 0.000
0.750 0.750 0.750
0.500 0.500 0.500
0.198 0.601 0.601
0.601 0.198 0.601
0.601 0.601 0.198
0.601 0.601 0.601
```

crystal system: cubic
space group: F-43m (216)



Record 19
Compound: Tb6NdY6
Source: Alexandria
Functional: PBE-GGA
Structure: optimized geometry

```
Tb6NdY6
1.0
6.712 0.000 0.000
-3.356 5.813 0.000
0.000 0.000 11.428
Tb Nd Y
6 1 6
direct
0.000 0.000 0.151
0.000 0.000 0.849
0.333 0.667 0.000
0.333 0.667 0.500
0.667 0.333 0.000
0.667 0.333 0.500
0.000 0.000 0.500
0.000 0.500 0.255
0.000 0.500 0.745
0.500 0.000 0.255
0.500 0.000 0.745
0.500 0.500 0.255
0.500 0.500 0.745
```

crystal system: hexagonal
DFT formation energy: 0.291 eV/atom
space group: P6/mmm (191)



Record 20
Compound: TiNbGaIr
Source: Alexandria
Functional: PBE-GGA
Structure: optimized geometry

```
TiNbGaIr
1.0
4.718 0.000 0.000
0.000 2.832 0.000
0.000 0.000 10.120
Ti Nb Ga Ir
2 2 2 2
direct
0.000 0.000 0.000
0.000 0.500 0.500
0.000 0.000 0.267
0.000 0.500 0.767
0.500 0.000 0.131
0.500 0.500 0.631
0.500 0.000 0.406
0.500 0.500 0.906
```

energy relative to the lowest polymorph listed for this composition: 0.301 eV per atom
crystal system: orthorhombic
DFT formation energy: -0.060 eV/atom
space group: Amm2 (38)



E_tot, respectively: -4.67 -3.62 -7.67 -7.03 -1.88 -3.81 -7.19 -7.03 -7.24 -4.81 -4.46 -5.17 -5.09 -2.09 -3.81 -4.97 -7.99 -6.39 -5.20 -7.52 eV per atom.